# PBE LuTe3, optimized geometry
# E_form (uncorrected) = -0.822 eV per atom
# DFT total energy = -4.3083 eV/atom
# Volume = 489.4 Å³ per cell
# M_tot = 0.0 μB per formula unit
data_LuTe3
_chemical_formula_sum 'Lu4 Te12'
_cell_length_a 4.299
_cell_length_b 26.481
_cell_length_c 4.299
_cell_angle_alpha 90.00
_cell_angle_beta 90.00
_cell_angle_gamma 90.00
_symmetry_space_group_name_H-M 'C m c m'
_symmetry_Int_Tables_number 63
_symmetry_space_group_name_Hall '-C 2c 2'
loop_
_atom_site_label
_atom_site_fract_x
_atom_site_fract_y
_atom_site_fract_z
Lu1 0.000 0.174 0.250
Te1 0.000 0.079 0.750
Te2 0.000 0.292 0.250
Te3 0.000 0.421 0.750

---

# PBE Lu8Te, optimized geometry
# E_form (uncorrected) = -0.281 eV per atom
# DFT total energy = -4.6489 eV/atom
# Volume = 260.3 Å³ per cell
# M_tot = 0.0 μB per formula unit
data_Lu8Te
_chemical_formula_sum 'Lu8 Te1'
_cell_length_a 9.0250
_cell_length_b 9.0250
_cell_length_c 3.6896
_cell_angle_alpha 90.00
_cell_angle_beta 90.00
_cell_angle_gamma 120.00
_symmetry_space_group_name_H-M 'P -6 2 m'
_symmetry_Int_Tables_number 189
_symmetry_space_group_name_Hall 'P -6 -2'
loop_
_atom_site_label
_atom_site_fract_x
_atom_site_fract_y
_atom_site_fract_z
Lu1 0.0000 0.2783 0.0000
Lu2 0.0000 0.6141 0.5000
Lu3 0.3333 0.6667 0.0000
Te1 0.0000 0.0000 0.5000

---

# PBE Lu5Te, optimized geometry
# E_form (uncorrected) = -0.231 eV per atom
# DFT total energy = -4.5217 eV/atom
# Volume = 333.2 Å³ per cell
# M_tot = 0.2 μB per formula unit
data_Lu5Te
_chemical_formula_sum 'Lu10 Te2'
_cell_length_a 4.621
_cell_length_b 14.872
_cell_length_c 4.849
_cell_angle_alpha 90.00
_cell_angle_beta 90.00
_cell_angle_gamma 90.00
_symmetry_space_group_name_H-M 'C m m m'
_symmetry_Int_Tables_number 65
_symmetry_space_group_name_Hall '-C 2 2'
loop_
_atom_site_label
_atom_site_fract_x
_atom_site_fract_y
_atom_site_fract_z
Lu1 0.000 0.000 0.000
Lu2 0.000 0.165 0.500
Lu3 0.000 0.328 0.000
Te1 0.000 0.500 0.500

---

# PBE LuTe2, optimized geometry
# E_form (uncorrected) = -1.023 eV per atom
# DFT total energy = -4.6240 eV/atom
# Volume = 169.9 Å³ per cell
# M_tot = 0.0 μB per formula unit
data_LuTe2
_chemical_formula_sum 'Lu2 Te4'
_cell_length_a 4.410
_cell_length_b 4.410
_cell_length_c 8.733
_cell_angle_alpha 90.00
_cell_angle_beta 90.00
_cell_angle_gamma 90.00
_symmetry_space_group_name_H-M 'P 4/n m m'
_symmetry_Int_Tables_number 129
loop_
_symmetry_equiv_pos_as_xyz
'x,y,z'
'-x,-y,-z'
'-y+1/2,x,z'
'y+1/2,-x,-z'
'-x+1/2,-y+1/2,z'
'x+1/2,y+1/2,-z'
'y,-x+1/2,z'
'-y,x+1/2,-z'
'x+1/2,-y,-z'
'-x+1/2,y,z'
'-y,-x,-z'
'y,x,z'
'-x,y+1/2,-z'
'x,-y+1/2,z'
'y+1/2,x+1/2,-z'
'-y+1/2,-x+1/2,z'
loop_
_atom_site_label
_atom_site_fract_x
_atom_site_fract_y
_atom_site_fract_z
Lu1 0.250 0.250 0.229
Te1 0.250 0.250 0.873
Te2 0.250 0.750 0.500

---

# PBE LuTe3, optimized geometry
# E_form (uncorrected) = -0.633 eV per atom
# DFT total energy = -4.1198 eV/atom
# Volume = 244.1 Å³ per cell
# M_tot = 0.0 μB per formula unit
data_LuTe3
_chemical_formula_sum 'Lu2 Te6'
_cell_length_a 4.297
_cell_length_b 9.704
_cell_length_c 5.854
_cell_angle_alpha 90.00
_cell_angle_beta 90.00
_cell_angle_gamma 90.00
_symmetry_space_group_name_H-M 'I m m 2'
_symmetry_Int_Tables_number 44
loop_
_symmetry_equiv_pos_as_xyz
'x,y,z'
'-x,-y,z'
'-x,y,z'
'x,-y,z'
'x+1/2,y+1/2,z+1/2'
'-x+1/2,-y+1/2,z+1/2'
'-x+1/2,y+1/2,z+1/2'
'x+1/2,-y+1/2,z+1/2'
loop_
_atom_site_label
_atom_site_fract_x
_atom_site_fract_y
_atom_site_fract_z
Lu1 0.000 0.000 0.000
Te1 0.000 0.312 0.736
Te2 0.000 0.500 0.141

---

# PBE LuTe2, optimized geometry
# E_form (uncorrected) = -0.874 eV per atom
# DFT total energy = -4.4752 eV/atom
# Volume = 166.6 Å³ per cell
# M_tot = 0.0 μB per formula unit
data_LuTe2
_chemical_formula_sum 'Lu2 Te4'
_cell_length_a 3.872
_cell_length_b 3.872
_cell_length_c 11.111
_cell_angle_alpha 90.00
_cell_angle_beta 90.00
_cell_angle_gamma 90.00
_symmetry_space_group_name_H-M 'I 4/m m m'
_symmetry_Int_Tables_number 139
_symmetry_space_group_name_Hall '-I 4 2'
loop_
_atom_site_label
_atom_site_fract_x
_atom_site_fract_y
_atom_site_fract_z
Lu1 0.000 0.000 0.000
Te1 0.000 0.000 0.355

---

# PBE LuThTe2, optimized geometry
# E_form (uncorrected) = -1.056 eV per atom
# DFT total energy = -5.6120 eV/atom
# Volume = 108.7 Å³ per cell
# M_tot = 0.0 μB per formula unit
data_LuThTe2
_chemical_formula_sum 'Lu1 Th1 Te2'
_cell_length_a 5.327
_cell_length_b 5.327
_cell_length_c 3.832
_cell_angle_alpha 90.00
_cell_angle_beta 90.00
_cell_angle_gamma 90.00
_symmetry_space_group_name_H-M 'P 4/m m m'
_symmetry_Int_Tables_number 123
_symmetry_space_group_name_Hall '-P 4 2'
loop_
_atom_site_label
_atom_site_fract_x
_atom_site_fract_y
_atom_site_fract_z
Lu1 0.000 0.000 0.000
Th1 0.500 0.500 0.000
Te1 0.000 0.500 0.500

---

# PBE LuTh2Te, optimized geometry
# E_form (uncorrected) = -0.347 eV per atom
# DFT total energy = -5.9725 eV/atom
# Volume = 124.7 Å³ per cell
# M_tot = 0.0 μB per formula unit
data_LuTh2Te
_chemical_formula_sum 'Lu1 Th2 Te1'
_cell_length_a 3.685
_cell_length_b 3.685
_cell_length_c 9.183
_cell_angle_alpha 90.00
_cell_angle_beta 90.00
_cell_angle_gamma 90.00
_symmetry_space_group_name_H-M 'P 4/m m m'
_symmetry_Int_Tables_number 123
_symmetry_space_group_name_Hall '-P 4 2'
loop_
_atom_site_label
_atom_site_fract_x
_atom_site_fract_y
_atom_site_fract_z
Lu1 0.000 0.000 0.000
Th1 0.500 0.500 0.270
Te1 0.000 0.000 0.500